Record 1
# TaW

A geometry-optimized TaW structure (PBE, OQMD).

a = 5.320 Å, b = 5.320 Å, c = 8.763 Å
α = 90.00°, β = 90.00°, γ = 120.00°
Element x y z (fractional)
Ta 0.000 0.000 0.000
Ta 0.333 0.667 0.060
Ta 0.333 0.667 0.440
Ta 0.000 0.000 0.500
Ta 0.667 0.333 0.560
Ta 0.667 0.333 0.940
W 0.341 0.171 0.250
W 0.829 0.171 0.250
W 0.829 0.659 0.250
W 0.171 0.341 0.750
W 0.171 0.829 0.750
W 0.659 0.829 0.750

The calculated total energy is -147.994 eV per cell. The density is 16.92 g/cm3. The formation energy is 0.07 eV per atom. Its symmetry is No. 194.



Record 2
# SrCdSeO

A geometry-optimized SrCdSeO structure (PBE, OQMD).

a = 3.733 Å, b = 6.043 Å, c = 7.615 Å
α = 90.00°, β = 75.81°, γ = 90.00°
Element x y z (fractional)
Cd 0.435 0.750 0.130
Cd 0.565 0.250 0.870
O 0.000 0.000 0.000
O 0.000 0.500 0.000
Se 0.799 0.750 0.401
Se 0.201 0.250 0.599
Sr 0.864 0.250 0.272
Sr 0.136 0.750 0.728

The calculated total energy is -31.877 eV per cell. The density is 5.88 g/cm3. Its symmetry is No. 63.



Record 3
# TaGaCuAg

A geometry-optimized TaGaCuAg structure (PBE, OQMD).

a = 4.476 Å, b = 4.476 Å, c = 4.476 Å
α = 60.00°, β = 60.00°, γ = 60.00°
Element x y z (fractional)
Ag 0.250 0.250 0.250
Cu 0.750 0.750 0.750
Ga 0.000 0.000 0.000
Ta 0.500 0.500 0.500

The calculated total energy is -20.082 eV per cell. The density is 11.05 g/cm3. Its symmetry is No. 216. Its energy above the most stable polymorph in this dataset is 0.241 eV/f.u.



Record 4
# ZrBe2Sn

A geometry-optimized ZrBe2Sn structure (PBE, OQMD).

a = 4.573 Å, b = 4.573 Å, c = 4.573 Å
α = 60.00°, β = 60.00°, γ = 60.00°
Element x y z (fractional)
Be 0.000 0.000 0.000
Be 0.750 0.750 0.750
Sn 0.500 0.500 0.500
Zr 0.250 0.250 0.250

The calculated total energy is -17.984 eV per cell. The density is 5.60 g/cm3. Its symmetry is No. 216.



Record 5
# Tl2AgBr2Cl2

A geometry-optimized Tl2AgBr2Cl2 structure (PBE, OQMD).

a = 4.277 Å, b = 7.479 Å, c = 7.518 Å
α = 90.00°, β = 90.00°, γ = 90.00°
Element x y z (fractional)
Ag 0.000 0.000 0.998
Br 0.000 0.245 0.241
Br 0.000 0.755 0.241
Cl 0.000 0.234 0.763
Cl 0.000 0.766 0.763
Tl 0.500 0.000 0.513
Tl 0.500 0.500 0.980

The calculated total energy is -19.258 eV per cell. The density is 5.16 g/cm3. Its symmetry is No. 25.



Record 6
# Nd3Se2S

A geometry-optimized Nd3Se2S structure (PBE, OQMD).

a = 4.169 Å, b = 4.169 Å, c = 10.255 Å
α = 90.00°, β = 90.00°, γ = 120.00°
Element x y z (fractional)
Nd 0.000 0.000 0.000
Nd 0.333 0.667 0.346
Nd 0.667 0.333 0.654
S 0.000 0.000 0.500
Se 0.667 0.333 0.172
Se 0.333 0.667 0.828

The calculated total energy is -36.791 eV per cell. The density is 6.70 g/cm3. Its symmetry is No. 164.